Computed, not measured: a geometry-optimized Li2OsW structure at the GGA-PBE level of DFT.

ρ (g cm⁻³): 10.86
Calculated total energy (eV for the cell shown): -26.68
Energy above the most stable polymorph in this dataset (eV/atom): 0.1460
M_tot (μB per atom): 0.0005
Formation enthalpy at 0 K (eV/atom): 0.33

abc: 9.7472 9.7472 9.7472
angles: 15.73 15.73 15.73
Fractional positions:
W 0.7500 0.7500 0.7500
Li 0.9954 0.9954 0.9954
Li 0.5046 0.5046 0.5046
Os 0.2500 0.2500 0.2500


Computed, not measured: a geometry-optimized GaNiMo structure at the GGA-PBE level of DFT.

ρ (g cm⁻³): 9.05
Calculated total energy (eV for the cell shown): -80.47
M_tot (μB per atom): 0.0000
Formation enthalpy at 0 K (eV/atom): -0.16

abc: 12.3477 3.9454 3.3806
angles: 90.00 90.00 90.00
Fractional positions:
Ni 0.1729 0.0000 0.0000
Ni 0.6729 0.5000 0.0000
Ni 0.8271 0.0000 0.0000
Ni 0.3271 0.5000 0.0000
Ga 0.6713 0.0000 0.5000
Ga 0.8287 0.5000 0.5000
Ga 0.3287 0.0000 0.5000
Ga 0.1713 0.5000 0.5000
Mo 0.0000 0.5000 0.0000
Mo 0.5000 0.5000 0.5000
Mo 0.5000 0.0000 0.0000
Mo 0.0000 0.0000 0.5000